# 1
Computed, not measured: crystalline ScPCl2 at its relaxed geometry at the PBE level of DFT.

Computed properties:
- E: -4.20 eV per atom
- N(E_F): 4.572 states/eV/f.u.
- Polymorph energy (0 for the lowest one): 0.812 eV per atom
- E_form (uncorrected): -1.371 eV/f.u.

Cell lengths 4.7651, 4.7651, 4.7651 Å; angles 60.00, 60.00, 60.00 degrees
Element x y z (fractional)
1 Cl 0.0000 0.0000 0.0000
2 Cl 0.7500 0.7500 0.7500
3 P 0.5000 0.5000 0.5000
4 Sc 0.2500 0.2500 0.2500

# 2
Computed, not measured: crystalline ScPCl2 at its relaxed geometry at the PBE level of DFT.

Computed properties:
- E: -4.57 eV per atom
- N(E_F): 2.894 states/eV/f.u.
- Polymorph energy (0 for the lowest one): 0.446 eV per atom
- E_form (uncorrected): -2.836 eV/f.u.

Cell lengths 3.0578, 3.0581, 10.5879 Å; angles 90.00, 90.00, 90.00 degrees
Element x y z (fractional)
1 Cl 0.0000 0.0000 0.8958
2 Cl 0.0000 0.0000 0.6042
3 P 0.5000 0.5000 0.2500
4 Sc 0.5000 0.5000 0.7500

> N(E_F) of number 2 (ScPCl2)?

2.894 states/eV/f.u.